# GeRuSe3 | Alexandria via LeMat-Bulk | PBE | relaxed
data_GeRuSe3
_cell_length_a 4.8754
_cell_length_b 4.8754
_cell_length_c 4.8754
_cell_angle_alpha 90.00
_cell_angle_beta 90.00
_cell_angle_gamma 90.00
_space_group_name_H-M_alt 'P 1'
_space_group_IT_number 1
_space_group_name_Hall 'P 1'
loop_
_atom_site_label
_atom_site_fract_x
_atom_site_fract_y
_atom_site_fract_z
Ge1 0.0000 0.0000 0.0000
Ru1 0.5000 0.5000 0.5000
Se1 0.0000 0.5000 0.5000
Se2 0.5000 0.0000 0.5000
Se3 0.5000 0.5000 0.0000
# Symmetry ... Pm-3m (221)
# Formation energy (no corrections) ... 0.46 eV per atom
# Density of states at the Fermi level ... 8.2 states/eV/cell
# Density ... 5.88 g/cm3
# Volume ... 115.9 Å³/cell
# ΔE to the lowest computed polymorph ... 0 meV per atom